A plane-wave DFT calculation with PBE-GGA was carried out for an optimized crystal structure of KGa2AgW.

Unit cell a=5.451 b=5.217 c=5.451 alpha=90.00 beta=90.00 gamma=90.00
Site moments in Bohr magnetons follow the coordinates.
Sites, in units of the cell vectors:
K 0.000 0.000 0.000  -0.02
Ga 0.000 0.000 0.500  -0.01
Ga 0.500 0.000 0.000  -0.05
Ag 0.000 0.500 0.000  0.00
W 0.500 0.500 0.500  3.16

Calculated values
The total energy comes out at -12.249 eV per cell. The value obtained for the formation energy is 2.141 eV/atom.